[1]
Material: TbNpRu4
Method: DFT, PBE
State: relaxed

Cell: 7.5253 7.5253 7.5253 Å, 90.00 90.00 90.00°
Last column: nearest neighbours and their distance in Å.
Space group F-43m (No. 216)
Unique sites:
Tb (0.0000, 0.0000, 0.0000)  12 Ru 3.12, 4 Np 3.26
Np (0.2500, 0.2500, 0.7500)  12 Ru 3.12, 4 Tb 3.26
Ru (0.1249, 0.1249, 0.3751)  6 Ru 2.66

Results
Formation enthalpy at 0 K: -0.7 eV per formula unit
Fermi-level density of states: 45.02 states/eV/cell
V: 426.2 Å³/cell


[2]
Material: Pm12Fe3N5
Method: DFT, PBE
State: relaxed

Cell: 15.4892 15.4892 15.4892 Å, 90.00 90.00 90.00°
Last column: nearest neighbours and their distance in Å.
Space group Ia-3d (No. 230)
Unique sites:
Pm (0.0291, 0.0560, 0.6511)  2 N 2.30-2.54
Fe (0.0000, 0.2500, 0.1250)  8 Pm 2.97-3.06
N (0.0000, 0.0000, 0.0000)  6 Pm 2.54
N (0.0000, 0.2500, 0.3750)  4 Pm 2.30

Results
Formation energy without anion corrections: -476 meV per atom
Fermi-level density of states: 113.99 states/eV/cell
V: 3716.1 Å³/cell


[3]
Material: Sm6AgAu2
Method: DFT, PBE
State: relaxed

Cell: 16.0905 7.1920 5.0964 Å, 90.00 108.32 90.00°
Last column: nearest neighbours and their distance in Å.
Space group C2/m (No. 12)
Unique sites:
Sm (0.0000, 0.2446, 0.0000)  2 Au 3.09, 2 Ag 3.14
Sm (0.1681, 0.2471, 0.6683)  3 Au 3.11, 1 Ag 3.15
Ag (0.0000, 0.5000, 0.5000)  8 Sm 3.14-3.15
Au (0.1666, 0.0000, 0.1670)  8 Sm 3.09-3.11

Results
Formation enthalpy at 0 K: -2.1 eV per formula unit
Fermi-level density of states: 31.02 states/eV/cell
V: 559.9 Å³/cell


[4]
Material: TbCeTh
Method: DFT, PBE
State: relaxed

Cell: 3.3895 5.5881 5.8152 Å, 90.00 90.00 90.00°
Last column: nearest neighbours and their distance in Å.
Space group Pmmm (No. 47)
Unique sites:
Tb (0.0000, 0.0000, 0.0000)  4 Th 3.37, 2 Tb 3.39
Ce (0.0000, 0.5000, 0.5000)  4 Th 3.27, 2 Ce 3.39
Th (0.5000, 0.0000, 0.5000)  4 Ce 3.27, 4 Tb 3.37, 2 Th 3.39

Results
Formation enthalpy at 0 K: 1.6 eV per formula unit
Fermi-level density of states: 7.69 states/eV/cell
V: 110.1 Å³/cell


[5]
Material: Sc2URh9
Method: DFT, PBE
State: relaxed

Cell: 3.9740 3.9740 11.8122 Å, 90.00 90.00 90.00°
Last column: nearest neighbours and their distance in Å.
Space group P4/mmm (No. 123)
Unique sites:
Sc (0.0000, 0.0000, 0.1642)  12 Rh 2.78-2.82
U (0.0000, 0.0000, 0.5000)  12 Rh 2.80-2.81
Rh (0.0000, 0.5000, 0.0000)  8 Rh 2.77-2.81, 4 Sc 2.78
Rh (0.0000, 0.5000, 0.3334)  2 U 2.80, 8 Rh 2.80-2.82, 2 Sc 2.82
Rh (0.5000, 0.5000, 0.1637)  8 Rh 2.77-2.82, 4 Sc 2.81
Rh (0.5000, 0.5000, 0.5000)  8 Rh 2.80, 4 U 2.81

Results
Formation enthalpy at 0 K: -7.8 eV per formula unit
Fermi-level density of states: 10.38 states/eV/cell
V: 186.5 Å³/cell


[6]
Material: PmSc3Sb3
Method: DFT, PBE
State: relaxed

Cell: 8.7686 8.7686 17.6849 Å, 90.00 90.00 120.00°
Last column: nearest neighbours and their distance in Å.
Space group R-3 (No. 148, hexagonal axes)
Unique sites:
Pm (0.0000, 0.0000, 0.1649)  6 Sb 3.16, 3 Sc 3.53
Sc (0.0005, 0.7302, 0.5812)  5 Sb 2.91-3.14
Sb (0.0031, 0.6294, 0.4139)  5 Sc 2.91-3.14, 2 Pm 3.16

Results
Formation energy without anion corrections: -785 meV per atom
Fermi-level density of states: 28.42 states/eV/cell
V: 1177.6 Å³/cell


[7]
Material: K2CdAg
Method: DFT, PBE
State: relaxed

Cell: 4.8031 4.8031 26.4995 Å, 90.00 90.00 120.00°
Last column: nearest neighbours and their distance in Å.
Space group R3m (No. 160, hexagonal axes)
Unique sites:
K (0.0000, 0.0000, 0.0000)  3 Ag 3.37, 3 Cd 3.64
K (0.0000, 0.0000, 0.1837)  3 Ag 3.45, 3 Cd 3.74
Cd (0.0000, 0.0000, 0.7554)  6 K 3.64-3.74
Ag (0.0000, 0.0000, 0.5947)  6 K 3.37-3.45

Results
Formation enthalpy at 0 K: 0.5 eV per formula unit
Fermi-level density of states: 7.28 states/eV/cell
V: 529.4 Å³/cell


[8]
Material: Pr5SmGe4
Method: DFT, PBE
State: relaxed

Cell: 15.9399 5.1841 7.0824 Å, 90.00 90.53 90.00°
Last column: nearest neighbours and their distance in Å.
Space group C2/m (No. 12)
Unique sites:
Pr (0.0000, 0.0000, 0.0000)  6 Ge 3.16-3.34, 2 Sm 3.54
Pr (0.1655, 0.5000, 0.5078)  5 Ge 3.05-3.27
Pr (0.1645, 0.5000, 0.9942)  5 Ge 3.10-3.27, 1 Pr 3.45
Sm (0.0000, 0.0000, 0.5000)  6 Ge 3.12-3.31
Ge (0.0094, 0.5000, 0.2550)  6 Pr 3.05-3.27, 2 Sm 3.12
Ge (0.1767, 0.0000, 0.7492)  7 Pr 3.10-3.34, 1 Sm 3.31

Results
Formation enthalpy at 0 K: -6.1 eV per formula unit
Fermi-level density of states: 11.92 states/eV/cell
V: 585.2 Å³/cell


[9]
Material: Ta2CdOs
Method: DFT, PBE
State: relaxed

Cell: 7.5952 7.5952 5.5468 Å, 90.00 90.00 90.00°
Last column: nearest neighbours and their distance in Å.
Space group I-42d (No. 122)
Unique sites:
Ta (0.1977, 0.2500, 0.1250)  2 Os 2.52
Cd (0.0000, 0.0000, 0.5000)  2 Os 2.77, 4 Ta 3.06
Os (0.0000, 0.0000, 0.0000)  4 Ta 2.52, 2 Cd 2.77

Results
Formation enthalpy at 0 K: 2.3 eV per formula unit
Fermi-level density of states: 12.77 states/eV/cell
V: 320.0 Å³/cell


Question: Among the records above, which one has the highest Fermi-level density of states?
Answer: Pm12Fe3N5


Question: What is the Fermi-level density of states in the fourth record?
Answer: 7.69 states/eV/cell


Question: V of number 6 (PmSc3Sb3)?
Answer: 1177.6 Å³/cell


Question: What is the formula in the seventh record?
Answer: K2CdAg